Entry 1:
A plane-wave DFT calculation with GGA-PBE was carried out for crystalline Li2ZrBeIr at its relaxed geometry.

Computed properties:
V (Å³ per cell): 80.57
E (eV per atom): -4.621
Space-group type: P4/mmm, No. 123
DFT formation energy (eV/atom): 0.372

abc: 4.3794 4.2011 4.3794
angles: 90.00 90.00 90.00
Closest atoms and distances in Å follow each position.
Sites, in units of the cell vectors:
Be (0.0000, 0.5000, 0.0000)  2 Ir 2.10
Ir (0.0000, 0.0000, 0.0000)  2 Be 2.10, 4 Li 2.19
Zr (0.5000, 0.5000, 0.5000)  8 Li 3.03, 4 Be 3.10
Li (0.0000, 0.0000, 0.5000)  2 Ir 2.19
Li (0.5000, 0.0000, 0.0000)  2 Ir 2.19

***

Entry 2:
A plane-wave DFT calculation with GGA-PBE was carried out for crystalline KOs2Br at its relaxed geometry.

Computed properties:
V (Å³ per cell): 176.13
E (eV per atom): -4.422
ΔE_f (raw) (eV per atom): 1.89
Excess energy over the best structure of this formula in the dataset (kJ/mol of formula units): 556
Space-group type: I-42d, No. 122

abc: 8.2962 8.2962 6.4002
angles: 49.60 49.60 90.00
Closest atoms and distances in Å follow each position.
Sites, in units of the cell vectors:
K (0.5000, 0.5000, 0.0000)  2 Br 2.56
K (0.2500, 0.7500, 0.5000)  2 Br 2.56
Os (0.6799, 0.1250, 0.2500)  2 Br 2.71, 2 Os 2.72
Os (0.0701, 0.6250, 0.2500)  2 Br 2.71, 2 Os 2.72
Os (0.3750, 0.3201, 0.7500)  2 Br 2.71, 2 Os 2.72
Os (0.8750, 0.9299, 0.7500)  2 Br 2.71, 2 Os 2.72
Br (0.0000, 0.0000, 0.0000)  2 K 2.56, 4 Os 2.71
Br (0.7500, 0.2500, 0.5000)  2 K 2.56, 4 Os 2.71

***

Entry 3:
A plane-wave DFT calculation with GGA-PBE was carried out for crystalline BeTe2IN at its relaxed geometry.

Computed properties:
V (Å³ per cell): 139.15
E (eV per atom): -2.329
ΔE_f (raw) (eV per atom): 1.65
Excess energy over the best structure of this formula in the dataset (kJ/mol of formula units): 526
Space-group type: P4/mmm, No. 123

abc: 5.9769 5.9769 3.8951
angles: 90.00 90.00 90.00
Closest atoms and distances in Å follow each position.
Sites, in units of the cell vectors:
I (0.0000, 0.0000, 0.0000)  2 N 1.95
Be (0.5000, 0.5000, 0.5000)  8 Te 3.57, 2 Be 3.90
Te (0.0000, 0.5000, 0.0000)  2 I 2.99
Te (0.5000, 0.0000, 0.0000)  2 I 2.99
N (0.0000, 0.0000, 0.5000)  2 I 1.95